A plane-wave DFT calculation with PBE was carried out for a relaxed Pm3Ga4Ru4 crystal.

a b c (Å): 7.673 7.673 7.673
angles (deg): 90.00 90.00 90.00
Space group I-43m (No. 217)
Asymmetric unit:
Pm: 0.000 0.000 0.500 (multiplicity 6)
Ga: 0.128 0.128 0.872 (multiplicity 8)
Ru: 0.192 0.192 0.192 (multiplicity 8)

Calculated values
uncorrected energy = -0.2200 hartree per atom
E_form = -0.22 eV per atom